Pm2MnGe3: relaxed, PBE.

**E above lowest polymorph**: 0.138 eV/atom
**V**: 23.22 Å³ per atom
**Final energy**: -34.81 eV/f.u.
**ΔH_f (0 K)**: -2.29 eV/f.u.
**Fermi-level density of states**: 3.4 states/eV per cell

The structure in POSCAR format:
```
Pm2MnGe3
1.0
-2.216 2.937 5.352
2.216 -2.937 5.352
2.216 2.937 -5.352
Pm Mn Ge
2 1 3
direct
0.186 0.186 0.000 Pm
0.814 0.814 0.000 Pm
0.500 0.500 0.000 Mn
0.000 0.500 0.500 Ge
0.378 0.878 0.500 Ge
0.622 0.122 0.500 Ge
```